No. 1
First-principles (PBE-GGA) data for crystalline PPd6Se2 at its relaxed geometry, as listed in Alexandria.

Output
- Formation energy without anion corrections: -228 meV per atom
- N(E_F): 0.482 states/eV/atom
- Symmetry: P2_1/c
- Theoretical density: 8.84 g/cm³

Cell lengths 5.959, 5.768, 9.256 Å; angles 90.00, 102.41, 90.00 degrees
Sites, in units of the cell vectors:
P 0.500 0.500 0.000
P 0.000 0.000 0.500
Pd 0.775 0.912 0.262
Pd 0.829 0.659 0.538
Pd 0.836 0.689 0.984
Pd 0.664 0.189 0.516
Pd 0.671 0.159 0.962
Pd 0.725 0.412 0.238
Pd 0.225 0.088 0.738
Pd 0.171 0.341 0.462
Pd 0.164 0.311 0.016
Pd 0.336 0.811 0.484
Pd 0.329 0.841 0.038
Pd 0.275 0.588 0.762
Se 0.899 0.367 0.760
Se 0.601 0.867 0.740
Se 0.399 0.133 0.260
Se 0.101 0.633 0.240


No. 2
First-principles (PBE-GGA) data for crystalline PPdSe3 at its relaxed geometry, as listed in Alexandria.

Output
- Energy above the most stable polymorph in this dataset: 0.000 eV/atom
- Formation energy without anion corrections: 655 meV per atom
- N(E_F): 1.366 states/eV/atom
- Symmetry: Pm-3m
- Theoretical density: 5.67 g/cm³

Cell lengths 4.786, 4.786, 4.786 Å; angles 90.00, 90.00, 90.00 degrees
Sites, in units of the cell vectors:
P 0.000 0.000 0.000
Se 0.000 0.500 0.000
Se 0.000 0.000 0.500
Se 0.500 0.000 0.000
Pd 0.500 0.500 0.500


Q: Among the records above, which one has the lowest N(E_F)?
A: PPd6Se2